# LiSiPt2

Crystalline LiSiPt2 at its relaxed geometry (PBE-GGA, Alexandria via LeMat-Bulk).

```
data_LiSiPt2
_chemical_formula_sum 'Li2 Si2 Pt4'
_cell_length_a 9.0058
_cell_length_b 2.8602
_cell_length_c 4.3571
_cell_angle_alpha 90.00
_cell_angle_beta 104.04
_cell_angle_gamma 90.00
_symmetry_space_group_name_H-M 'C 1 m 1'
_symmetry_Int_Tables_number 8
_symmetry_space_group_name_Hall 'C -2y'
loop_
_atom_site_label
_atom_site_type_symbol
_atom_site_fract_x
_atom_site_fract_y
_atom_site_fract_z
_atom_site_occupancy
Li1 Li 0.0000 0.0000 0.0000 1
Si1 Si 0.2452 0.0000 0.6269 1
Pt1 Pt 0.0111 0.5000 0.5165 1
Pt2 Pt 0.2461 0.5000 0.1196 1
```

Calculated values
Fermi-level density of states (states/eV/cell): 2.36
Crystal system: monoclinic
DFT total energy (eV for the cell shown): -44.2
Magnetization (μB/atom): 0.000